# 1
## YZr (meta-GGA SCAN)

Data for a PBEsol-optimized structure of YZr.

As for the energy above the most stable polymorph in this dataset: 84 meV per atom.

Geometry as CIF:
```
data_YZr
_chemical_formula_sum 'Y6 Zr6'
_cell_length_a 3.3052
_cell_length_b 3.3052
_cell_length_c 32.6365
_cell_angle_alpha 90.00
_cell_angle_beta 90.00
_cell_angle_gamma 120.00
_space_group_name_H-M_alt 'R -3 m'
_space_group_IT_number 166
_space_group_name_Hall '-R 3 2"'
loop_
_atom_site_label
_atom_site_type_symbol
_atom_site_fract_x
_atom_site_fract_y
_atom_site_fract_z
Y1 Y 0.0000 0.0000 0.1196
Zr1 Zr 0.0000 0.0000 0.3712
```

=====

# 2
## ZrZn8 (meta-GGA SCAN)

Data for a PBEsol-optimized structure of ZrZn8.

Geometry as CIF:
```
data_ZrZn8
_chemical_formula_sum 'Zr2 Zn16'
_cell_length_a 8.279
_cell_length_b 8.279
_cell_length_c 3.900
_cell_angle_alpha 90.00
_cell_angle_beta 90.00
_cell_angle_gamma 90.00
_space_group_name_H-M_alt 'I 4/m m m'
_space_group_IT_number 139
_space_group_name_Hall '-I 4 2'
loop_
_atom_site_label
_atom_site_type_symbol
_atom_site_fract_x
_atom_site_fract_y
_atom_site_fract_z
Zr1 Zr 0.000 0.000 0.000
Zn1 Zn 0.000 0.341 0.000
Zn2 Zn 0.178 0.178 0.500
```

=====

# 3
## Zr5Zn3 (meta-GGA SCAN)

Data for a PBEsol-optimized structure of Zr5Zn3.

As for the energy above the most stable polymorph in this dataset: 75 meV per atom.

Geometry as CIF:
```
data_Zr5Zn3
_chemical_formula_sum 'Zr5 Zn3'
_cell_length_a 3.911
_cell_length_b 4.296
_cell_length_c 8.922
_cell_angle_alpha 90.00
_cell_angle_beta 90.00
_cell_angle_gamma 90.00
_space_group_name_H-M_alt 'P m m m'
_space_group_IT_number 47
_space_group_name_Hall '-P 2 2'
loop_
_atom_site_label
_atom_site_type_symbol
_atom_site_fract_x
_atom_site_fract_y
_atom_site_fract_z
Zr1 Zr 0.000 0.000 0.000
Zr2 Zr 0.000 0.000 0.500
Zr3 Zr 0.000 0.500 0.238
Zr4 Zr 0.500 0.500 0.500
Zn1 Zn 0.500 0.000 0.249
Zn2 Zn 0.500 0.500 0.000
```

=====

# 4
## Zr2Zn3 (meta-GGA SCAN)

Data for a PBEsol-optimized structure of Zr2Zn3.

Geometry as CIF:
```
data_Zr2Zn3
_chemical_formula_sum 'Zr16 Zn24'
_cell_length_a 9.258
_cell_length_b 13.680
_cell_length_c 5.421
_cell_angle_alpha 90.00
_cell_angle_beta 90.00
_cell_angle_gamma 90.00
_space_group_name_H-M_alt 'F d d 2'
_space_group_IT_number 43
_space_group_name_Hall 'F 2 -2d'
loop_
_atom_site_label
_atom_site_type_symbol
_atom_site_fract_x
_atom_site_fract_y
_atom_site_fract_z
Zr1 Zr 0.081 0.198 0.000
Zn1 Zn 0.000 0.000 0.169
Zn2 Zn 0.073 0.119 0.505
```

=====

# 5
## ZrZn3 (meta-GGA SCAN)

Data for a PBEsol-optimized structure of ZrZn3.

Geometry as CIF:
```
data_ZrZn3
_chemical_formula_sum 'Zr2 Zn6'
_cell_length_a 5.7967
_cell_length_b 5.7967
_cell_length_c 4.3018
_cell_angle_alpha 90.00
_cell_angle_beta 90.00
_cell_angle_gamma 120.00
_space_group_name_H-M_alt 'P 63/m m c'
_space_group_IT_number 194
_space_group_name_Hall '-P 6c 2c'
loop_
_atom_site_label
_atom_site_type_symbol
_atom_site_fract_x
_atom_site_fract_y
_atom_site_fract_z
Zr1 Zr 0.3333 0.6667 0.2500
Zn1 Zn 0.1572 0.3144 0.7500
```

=====

# 6
## Zr8Zn (meta-GGA SCAN)

Data for a PBEsol-optimized structure of Zr8Zn.

Geometry as CIF:
```
data_Zr8Zn
_chemical_formula_sum 'Zr16 Zn2'
_cell_length_a 9.503
_cell_length_b 9.503
_cell_length_c 4.199
_cell_angle_alpha 90.00
_cell_angle_beta 90.00
_cell_angle_gamma 90.00
_space_group_name_H-M_alt 'I 4/m m m'
_space_group_IT_number 139
_space_group_name_Hall '-I 4 2'
loop_
_atom_site_label
_atom_site_type_symbol
_atom_site_fract_x
_atom_site_fract_y
_atom_site_fract_z
Zr1 Zr 0.000 0.331 0.000
Zr2 Zr 0.163 0.163 0.500
Zn1 Zn 0.000 0.000 0.000
```

=====

# 7
## Zr3Zn5 (meta-GGA SCAN)

Data for a PBEsol-optimized structure of Zr3Zn5.

As for the energy above the most stable polymorph in this dataset: 0 meV per atom.

Geometry as CIF:
```
data_Zr3Zn5
_chemical_formula_sum 'Zr6 Zn10'
_cell_length_a 4.428
_cell_length_b 4.428
_cell_length_c 13.613
_cell_angle_alpha 90.00
_cell_angle_beta 90.00
_cell_angle_gamma 90.00
_space_group_name_H-M_alt 'I 4/m m m'
_space_group_IT_number 139
_space_group_name_Hall '-I 4 2'
loop_
_atom_site_label
_atom_site_type_symbol
_atom_site_fract_x
_atom_site_fract_y
_atom_site_fract_z
Zr1 Zr 0.000 0.000 0.000
Zr2 Zr 0.000 0.000 0.256
Zn1 Zn 0.000 0.000 0.500
Zn2 Zn 0.000 0.500 0.117
```

=====

# 8
## ZrZn4 (meta-GGA SCAN)

Data for a PBEsol-optimized structure of ZrZn4.

Geometry as CIF:
```
data_ZrZn4
_chemical_formula_sum 'Zr2 Zn8'
_cell_length_a 6.184
_cell_length_b 6.184
_cell_length_c 6.184
_cell_angle_alpha 90.00
_cell_angle_beta 90.00
_cell_angle_gamma 90.00
_space_group_name_H-M_alt 'I m -3 m'
_space_group_IT_number 229
_space_group_name_Hall '-I 4 2 3'
loop_
_atom_site_label
_atom_site_type_symbol
_atom_site_fract_x
_atom_site_fract_y
_atom_site_fract_z
Zr1 Zr 0.000 0.000 0.000
Zn1 Zn 0.250 0.250 0.250
```

=====

# 9
## ZrZn3 (meta-GGA SCAN)

Data for a PBEsol-optimized structure of ZrZn3.

Geometry as CIF:
```
data_ZrZn3
_chemical_formula_sum 'Zr6 Zn18'
_cell_length_a 5.6582
_cell_length_b 5.6582
_cell_length_c 13.8589
_cell_angle_alpha 90.00
_cell_angle_beta 90.00
_cell_angle_gamma 120.00
_space_group_name_H-M_alt 'R -3 m'
_space_group_IT_number 166
_space_group_name_Hall '-R 3 2"'
loop_
_atom_site_label
_atom_site_type_symbol
_atom_site_fract_x
_atom_site_fract_y
_atom_site_fract_z
Zr1 Zr 0.0000 0.0000 0.2464
Zn1 Zn 0.0032 0.5016 0.2516
```

=====

# 10
## Zr4Zn (meta-GGA SCAN)

Data for a PBEsol-optimized structure of Zr4Zn.

Geometry as CIF:
```
data_Zr4Zn
_chemical_formula_sum 'Zr8 Zn2'
_cell_length_a 6.900
_cell_length_b 6.900
_cell_length_c 4.271
_cell_angle_alpha 90.00
_cell_angle_beta 90.00
_cell_angle_gamma 90.00
_space_group_name_H-M_alt 'I 4/m'
_space_group_IT_number 87
_space_group_name_Hall '-I 4'
loop_
_atom_site_label
_atom_site_type_symbol
_atom_site_fract_x
_atom_site_fract_y
_atom_site_fract_z
Zr1 Zr 0.115 0.694 0.000
Zn1 Zn 0.000 0.000 0.500
```

=====

# 11
## Zr7Zn (meta-GGA SCAN)

Data for a PBEsol-optimized structure of Zr7Zn.

As for the energy above the most stable polymorph in this dataset: 70 meV per atom.

Geometry as CIF:
```
data_Zr7Zn
_chemical_formula_sum 'Zr28 Zn4'
_cell_length_a 8.765
_cell_length_b 8.765
_cell_length_c 8.765
_cell_angle_alpha 90.00
_cell_angle_beta 90.00
_cell_angle_gamma 90.00
_space_group_name_H-M_alt 'F m -3 m'
_space_group_IT_number 225
_space_group_name_Hall '-F 4 2 3'
loop_
_atom_site_label
_atom_site_type_symbol
_atom_site_fract_x
_atom_site_fract_y
_atom_site_fract_z
Zr1 Zr 0.000 0.000 0.000
Zr2 Zr 0.000 0.250 0.250
Zn1 Zn 0.000 0.000 0.500
```

=====

# 12
## Zr5Zn3 (meta-GGA SCAN)

Data for a PBEsol-optimized structure of Zr5Zn3.

As for the energy above the most stable polymorph in this dataset: 0 meV per atom.

Geometry as CIF:
```
data_Zr5Zn3
_chemical_formula_sum 'Zr5 Zn3'
_cell_length_a 3.260
_cell_length_b 3.260
_cell_length_c 14.417
_cell_angle_alpha 90.00
_cell_angle_beta 90.00
_cell_angle_gamma 90.00
_space_group_name_H-M_alt 'P 4/m m m'
_space_group_IT_number 123
_space_group_name_Hall '-P 4 2'
loop_
_atom_site_label
_atom_site_type_symbol
_atom_site_fract_x
_atom_site_fract_y
_atom_site_fract_z
Zr1 Zr 0.000 0.000 0.000
Zr2 Zr 0.000 0.000 0.236
Zr3 Zr 0.500 0.500 0.380
Zn1 Zn 0.000 0.000 0.500
Zn2 Zn 0.500 0.500 0.117
```

=====

| no. | volume (Å³ per cell) | E_tot (eV per atom) |
| --- | --- | --- |
| 1 | 308.8 | -29.128 |
| 2 | 267.3 | -15.557 |
| 3 | 149.9 | -24.445 |
| 4 | 686.5 | -20.733 |
| 5 | 125.2 | -18.178 |
| 6 | 379.2 | -28.806 |
| 7 | 266.9 | -20.286 |
| 8 | 236.5 | -16.286 |
| 9 | 384.3 | -18.131 |
| 10 | 203.3 | -27.338 |
| 11 | 673.4 | -28.514 |
| 12 | 153.2 | -24.520 |